# Tb2Ge2O5 (PBE-GGA, optimized geometry)
# Crystal system   tetragonal
# Volume   13.8 Å³/atom
# Magnetization   0.000 μB per atom
# Total DFT energy (no corrections)   -6.685 eV per atom
data_Tb2Ge2O5
_symmetry_space_group_name_H-M 'P 1'
_symmetry_Int_Tables_number 1
_cell_length_a 9.431
_cell_length_b 3.631
_cell_length_c 3.631
_cell_angle_alpha 90.00
_cell_angle_beta 90.00
_cell_angle_gamma 90.00
loop_
_symmetry_equiv_pos_as_xyz
'x,y,z'
loop_
_atom_site_label
_atom_site_type_symbol
_atom_site_fract_x
_atom_site_fract_y
_atom_site_fract_z
_atom_site_occupancy
Tb1 Tb 0.745 0.500 0.500 1
Tb2 Tb 0.255 0.500 0.500 1
O1 O 0.127 0.000 0.500 1
O2 O 0.873 0.000 0.500 1
O3 O 0.873 0.500 0.000 1
O4 O 0.127 0.500 0.000 1
O5 O 0.500 0.500 0.500 1
Ge1 Ge 0.000 0.000 0.000 1
Ge2 Ge 0.500 0.000 0.000 1


# Zn6CoCu (PBE-GGA, optimized geometry)
# Crystal system   hexagonal
# Volume   13.2 Å³/atom
# Magnetization   0.073 μB per atom
# E_form   -0.438 eV per formula unit
data_Zn6CoCu
_symmetry_space_group_name_H-M 'P 1'
_symmetry_Int_Tables_number 1
_cell_length_a 5.350
_cell_length_b 5.350
_cell_length_c 4.274
_cell_angle_alpha 90.00
_cell_angle_beta 90.00
_cell_angle_gamma 120.00
loop_
_symmetry_equiv_pos_as_xyz
'x,y,z'
loop_
_atom_site_label
_atom_site_type_symbol
_atom_site_fract_x
_atom_site_fract_y
_atom_site_fract_z
_atom_site_occupancy
Zn1 Zn 0.322 0.161 0.500 1
Zn2 Zn 0.004 0.502 0.000 1
Zn3 Zn 0.839 0.678 0.500 1
Zn4 Zn 0.498 0.996 0.000 1
Zn5 Zn 0.839 0.161 0.500 1
Zn6 Zn 0.498 0.502 0.000 1
Cu1 Cu 0.333 0.667 0.500 1
Co1 Co 0.000 0.000 0.000 1


- The highest magnetization belongs to which entry?
  Zn6CoCu